Entry 1:
Below is Sm2WN4 after structural relaxation, with properties calculated at the PBE level.

a = 6.2352 Å, b = 6.2352 Å, c = 7.2082 Å
α = 104.29°, β = 104.29°, γ = 115.44°
With the nearest neighbours (Å) after each atom.
Element x y z (fractional)
N 0.2438 0.2261 0.8988  1 W 1.88
Sm 0.4331 0.5669 0.7500  6 N 2.40-2.58
N 0.8451 0.3273 0.1013  1 W 1.88
N 0.6727 0.1549 0.3987  1 W 1.88
N 0.3273 0.8451 0.6013  1 W 1.88
W 0.1250 0.8750 0.7500  4 N 1.88
N 0.1549 0.6727 0.8987  1 W 1.88
Sm 0.5669 0.4331 0.2500  6 N 2.40-2.58
N 0.7562 0.7739 0.1012  1 W 1.88
Sm 0.1832 0.8168 0.2500  6 N 2.40-2.58
N 0.2261 0.2438 0.3988  1 W 1.88
N 0.7739 0.7562 0.6012  1 W 1.88
W 0.8750 0.1250 0.2500  4 N 1.88
Sm 0.8168 0.1832 0.7500  6 N 2.40-2.58

Properties
Crystal system = orthorhombic
Excess energy over the best structure of this formula in the dataset = 0 meV/atom
ΔE_f (raw) = -1168 meV/atom

Entry 2:
Below is Al4IrPd2 after structural relaxation, with properties calculated at the PBE level.

a = 4.2426 Å, b = 5.2077 Å, c = 5.2077 Å
α = 108.75°, β = 90.00°, γ = 90.00°
With the nearest neighbours (Å) after each atom.
Element x y z (fractional)
Al 0.0000 0.7682 0.7682  4 Pd 2.59-2.62, 2 Ir 2.67, 1 Al 2.81
Al 0.5000 0.0000 0.5000  2 Ir 2.60, 4 Pd 2.61
Pd 0.0000 0.2567 0.7433  8 Al 2.59-2.62
Al 0.0000 0.2318 0.2318  4 Pd 2.59-2.62, 2 Ir 2.67, 1 Al 2.81
Al 0.5000 0.5000 0.0000  2 Ir 2.60, 4 Pd 2.61
Pd 0.0000 0.7433 0.2567  8 Al 2.59-2.62
Ir 0.5000 0.5000 0.5000  8 Al 2.60-2.67

Properties
Crystal system = orthorhombic
Fermi-level density of states = 1.33 states/eV/cell
Energy = -39.82 eV per formula unit

Entry 3:
Below is Ti2PbW after structural relaxation, with properties calculated at the PBE level.

a = 3.3686 Å, b = 3.3686 Å, c = 6.4012 Å
α = 90.00°, β = 90.00°, γ = 90.00°
With the nearest neighbours (Å) after each atom.
Element x y z (fractional)
Pb 0.5000 0.5000 0.5000  8 Ti 2.99, 2 W 3.20
Ti 0.0000 0.0000 0.7813  4 W 2.76, 1 Ti 2.80, 4 Pb 2.99
Ti 0.0000 0.0000 0.2187  4 W 2.76, 1 Ti 2.80, 4 Pb 2.99
W 0.5000 0.5000 0.0000  8 Ti 2.76

Properties
Crystal system = tetragonal
Fermi-level density of states = 2.35 states/eV/cell
Energy = -32.54 eV per formula unit

no.,total magnetization (μB per cell)
1,0.0
2,0.0
3,0.0